# 1
This record from Alexandria via LeMat-Bulk describes a relaxed structure of TiCd3Pt. The functional is PBE-GGA.

Computed properties:
Total DFT energy (no corrections), eV per atom: -2.117
Density of states at the Fermi level, states/eV per cell: 5.92
ΔH_f (0 K), meV per atom: 1219

a = 5.218 Å, b = 5.218 Å, c = 5.218 Å
α = 90.00°, β = 90.00°, γ = 90.00°
Space group Pm-3m (No. 221)
Inequivalent atoms, fractional coordinates:
Ti 0.000 0.000 0.000 (multiplicity 1)
Cd 0.000 0.000 0.500 (multiplicity 3)
Pt 0.500 0.500 0.500 (multiplicity 1)

# 2
This record from Alexandria via LeMat-Bulk describes a relaxed structure of Ca2CuAg. The functional is PBE-GGA.

Computed properties:
Total DFT energy (no corrections), eV per atom: -2.961
Density of states at the Fermi level, states/eV per cell: 4.13
ΔH_f (0 K), meV per atom: -223

a = 5.959 Å, b = 4.406 Å, c = 8.400 Å
α = 90.00°, β = 110.54°, γ = 90.00°
Space group P2_1/m (No. 11)
Inequivalent atoms, fractional coordinates:
Ca 0.206 0.250 0.426 (multiplicity 2)
Ca 0.281 0.750 0.068 (multiplicity 2)
Cu 0.150 0.250 0.785 (multiplicity 2)
Ag 0.357 0.750 0.717 (multiplicity 2)

# 3
This record from Alexandria via LeMat-Bulk describes a relaxed structure of La2H4Ru. The functional is PBE-GGA.

Computed properties:
Total DFT energy (no corrections), eV per atom: -5.034
Density of states at the Fermi level, states/eV per cell: 10.81

a = 3.563 Å, b = 3.563 Å, c = 14.467 Å
α = 90.00°, β = 90.00°, γ = 90.00°
Space group I4/mmm (No. 139)
Inequivalent atoms, fractional coordinates:
La 0.000 0.000 0.138 (multiplicity 4)
H 0.000 0.000 0.310 (multiplicity 4)
H 0.000 0.500 0.000 (multiplicity 4)
Ru 0.000 0.000 0.500 (multiplicity 2)

# 4
This record from Alexandria via LeMat-Bulk describes a relaxed structure of AgRhSe2. The functional is PBE-GGA.

Computed properties:
Total DFT energy (no corrections), eV per atom: -4.341
Density of states at the Fermi level, states/eV per cell: 11.01
Energy relative to the elements, uncorrected, eV/atom: -0.048

a = 6.135 Å, b = 6.135 Å, c = 10.211 Å
α = 90.00°, β = 90.00°, γ = 90.00°
Space group I-42d (No. 122)
Inequivalent atoms, fractional coordinates:
Ag 0.000 0.000 0.000 (multiplicity 4)
Rh 0.000 0.000 0.500 (multiplicity 4)
Se 0.215 0.250 0.625 (multiplicity 8)

# 5
This record from Alexandria via LeMat-Bulk describes a relaxed structure of HfNb2Sb. The functional is PBE-GGA.

Computed properties:
Total DFT energy (no corrections), eV per atom: -8.320
Density of states at the Fermi level, states/eV per cell: 18.50
Energy relative to the elements, uncorrected, eV/atom: 0.233

a = 4.082 Å, b = 4.082 Å, c = 20.619 Å
α = 90.00°, β = 90.00°, γ = 90.00°
Space group I-42d (No. 122)
Inequivalent atoms, fractional coordinates:
Hf 0.000 0.000 0.000 (multiplicity 4)
Nb 0.244 0.250 0.625 (multiplicity 8)
Sb 0.000 0.000 0.500 (multiplicity 4)

# 6
This record from Alexandria via LeMat-Bulk describes a relaxed structure of Pr6Sm2Dy3. The functional is PBE-GGA.

Computed properties:
Total DFT energy (no corrections), eV per atom: -4.705
Density of states at the Fermi level, states/eV per cell: 15.05
ΔH_f (0 K), meV per atom: 15

a = 6.328 Å, b = 8.144 Å, c = 8.179 Å
α = 107.40°, β = 97.28°, γ = 104.91°
Space group P-1 (No. 2)
Inequivalent atoms, fractional coordinates:
Pr 0.047 0.182 0.409 (multiplicity 2)
Pr 0.137 0.546 0.231 (multiplicity 2)
Pr 0.320 0.272 0.865 (multiplicity 2)
Sm 0.230 0.911 0.047 (multiplicity 2)
Dy 0.410 0.638 0.681 (multiplicity 2)
Dy 0.500 0.000 0.500 (multiplicity 1)

# 7
This record from Alexandria via LeMat-Bulk describes a relaxed structure of Th2TaC2N2. The functional is PBE-GGA.

Computed properties:
Total DFT energy (no corrections), eV per atom: -9.464
Density of states at the Fermi level, states/eV per cell: 9.86
Energy relative to the elements, uncorrected, eV/atom: -0.637

a = 4.115 Å, b = 4.115 Å, c = 12.679 Å
α = 90.00°, β = 90.00°, γ = 90.00°
Space group I4/mmm (No. 139)
Inequivalent atoms, fractional coordinates:
Th 0.000 0.000 0.143 (multiplicity 4)
Ta 0.000 0.000 0.500 (multiplicity 2)
C 0.000 0.500 0.000 (multiplicity 4)
N 0.000 0.000 0.324 (multiplicity 4)

# 8
This record from Alexandria via LeMat-Bulk describes a relaxed structure of Ho4InPd2. The functional is PBE-GGA.

Computed properties:
Total DFT energy (no corrections), eV per atom: -4.993
Density of states at the Fermi level, states/eV per cell: 15.77
ΔH_f (0 K), meV per atom: -503

a = 4.8011 Å, b = 4.8011 Å, c = 28.2141 Å
α = 90.00°, β = 90.00°, γ = 120.00°
Space group R-3m (No. 166, hexagonal axes)
Inequivalent atoms, fractional coordinates:
Ho 0.0000 0.0000 0.1159 (multiplicity 6)
Ho 0.0000 0.0000 0.2964 (multiplicity 6)
In 0.0000 0.0000 0.5000 (multiplicity 3)
Pd 0.0000 0.0000 0.3999 (multiplicity 6)